# Ac2Ga4Ni3Au (GGA-PBE, relaxed)
data_Ac2Ga4Ni3Au
_chemical_formula_sum 'Ac2 Ga4 Ni3 Au1'
_cell_length_a 4.319
_cell_length_b 4.319
_cell_length_c 10.490
_cell_angle_alpha 90.00
_cell_angle_beta 90.00
_cell_angle_gamma 90.00
_symmetry_space_group_name_H-M 'P -4 m 2'
_symmetry_Int_Tables_number 115
loop_
_symmetry_equiv_pos_as_xyz
'x,y,z'
'y,-x,-z'
'-x,-y,z'
'-y,x,-z'
'-x,y,z'
'-y,-x,-z'
'x,-y,z'
'y,x,-z'
loop_
_atom_site_label
_atom_site_type_symbol
_atom_site_fract_x
_atom_site_fract_y
_atom_site_fract_z
_atom_site_occupancy
Ac1 Ac 0.000 0.500 0.241 1
Ga1 Ga 0.000 0.000 0.000 1
Ga2 Ga 0.000 0.500 0.636 1
Ga3 Ga 0.500 0.500 0.000 1
Ni1 Ni 0.000 0.500 0.875 1
Ni2 Ni 0.500 0.500 0.500 1
Au1 Au 0.000 0.000 0.500 1
# Fermi-level density of states, states/eV/cell: 8.55
# Uncorrected energy, eV/atom: -4.62
# Magnetization, μB per cell: 0.000